1.
Material: Cs2NaPaCl6
Method: DFT, PBE-GGA
State: relaxed

Values from the calculation:
The density of states at the Fermi level is 0.718 states/eV per atom. As for the space-group type: No. 166. The calculation puts the electronic total energy at -83.92 eV/cell.

The structure in POSCAR format:
```
Cs2NaPaCl6
1.0
3.923 2.265 13.369
-3.923 2.265 13.369
0.000 -4.530 13.369
Cs Na Pa Cl
4 2 2 12
direct
0.123 0.123 0.123
0.283 0.283 0.283
0.717 0.717 0.717
0.877 0.877 0.877
0.410 0.410 0.410
0.590 0.590 0.590
0.000 0.000 0.000
0.500 0.500 0.500
0.135 0.620 0.620
0.204 0.204 0.715
0.204 0.715 0.204
0.285 0.796 0.796
0.380 0.380 0.865
0.380 0.865 0.380
0.620 0.135 0.620
0.620 0.620 0.135
0.715 0.204 0.204
0.796 0.285 0.796
0.796 0.796 0.285
0.865 0.380 0.380
```


2.
Material: CsNa3Pb4Cl12
Method: DFT, PBE-GGA
State: relaxed

Values from the calculation:
The density of states at the Fermi level is 0.000 states/eV per atom. As for the space-group type: No. 204. The calculation puts the electronic total energy at -70.33 eV/cell.

The structure in POSCAR format:
```
CsNa3Pb4Cl12
1.0
-5.420 5.420 5.420
5.420 -5.420 5.420
5.420 5.420 -5.420
Cs Na Pb Cl
1 3 4 12
direct
0.000 0.000 0.000
0.000 0.500 0.500
0.500 0.000 0.500
0.500 0.500 0.000
0.000 0.000 0.500
0.000 0.500 0.000
0.500 0.000 0.000
0.500 0.500 0.500
0.136 0.825 0.311
0.175 0.311 0.486
0.175 0.689 0.864
0.311 0.136 0.825
0.311 0.486 0.175
0.486 0.175 0.311
0.514 0.825 0.689
0.689 0.514 0.825
0.689 0.864 0.175
0.825 0.311 0.136
0.825 0.689 0.514
0.864 0.175 0.689
```


3.
Material: CsNaPbCl4
Method: DFT, PBE-GGA
State: relaxed

Values from the calculation:
The density of states at the Fermi level is 0.000 states/eV per atom. As for the space-group type: No. 11. The calculation puts the electronic total energy at -48.20 eV/cell.

The structure in POSCAR format:
```
CsNaPbCl4
1.0
7.622 0.000 0.000
0.000 7.524 0.000
-1.813 0.000 8.699
Cs Na Pb Cl
2 2 2 8
direct
0.152 0.250 0.082
0.848 0.750 0.918
0.386 0.250 0.682
0.614 0.750 0.318
0.165 0.750 0.462
0.835 0.250 0.538
0.124 0.006 0.706
0.124 0.494 0.706
0.273 0.750 0.167
0.466 0.250 0.407
0.534 0.750 0.593
0.727 0.250 0.833
0.876 0.506 0.294
0.876 0.994 0.294
```


4.
Material: Cs3Na2PbCl6
Method: DFT, PBE-GGA
State: relaxed

Values from the calculation:
The density of states at the Fermi level is 0.219 states/eV per atom. As for the space-group type: No. 164. The calculation puts the electronic total energy at -38.00 eV/cell.

The structure in POSCAR format:
```
Cs3Na2PbCl6
1.0
8.002 0.000 0.000
-4.001 6.930 0.000
0.000 0.000 9.109
Cs Na Pb Cl
3 2 1 6
direct
0.000 0.000 0.000
0.333 0.667 0.617
0.667 0.333 0.383
0.333 0.667 0.161
0.667 0.333 0.839
0.000 0.000 0.500
0.166 0.332 0.307
0.166 0.834 0.307
0.332 0.166 0.693
0.668 0.834 0.307
0.834 0.166 0.693
0.834 0.668 0.693
```


5.
Material: Cs2NaPb2Cl7
Method: DFT, PBE-GGA
State: relaxed

Values from the calculation:
The density of states at the Fermi level is 0.000 states/eV per atom. As for the space-group type: No. 12. The calculation puts the electronic total energy at -41.15 eV/cell.

The structure in POSCAR format:
```
Cs2NaPb2Cl7
1.0
3.672 -4.297 0.000
3.672 4.297 0.000
-2.515 0.000 14.306
Cs Na Pb Cl
2 1 2 7
direct
0.207 0.207 0.365
0.793 0.793 0.635
0.000 0.000 0.000
0.353 0.353 0.809
0.647 0.647 0.191
0.142 0.744 0.171
0.256 0.858 0.829
0.285 0.285 0.605
0.500 0.500 0.000
0.715 0.715 0.395
0.744 0.142 0.171
0.858 0.256 0.829
```


6.
Material: CsNaPm2Cl8
Method: DFT, PBE-GGA
State: relaxed

Values from the calculation:
The density of states at the Fermi level is 0.000 states/eV per atom. As for the space-group type: No. 10. The calculation puts the electronic total energy at -51.90 eV/cell.

The structure in POSCAR format:
```
CsNaPm2Cl8
1.0
7.021 0.000 0.000
0.000 8.655 0.000
-0.625 0.000 7.123
Cs Na Pm Cl
1 1 2 8
direct
0.000 0.000 0.000
0.000 0.500 0.000
0.500 0.259 0.500
0.500 0.741 0.500
0.247 0.287 0.200
0.247 0.713 0.200
0.304 0.500 0.655
0.312 0.000 0.637
0.688 0.000 0.363
0.696 0.500 0.345
0.753 0.287 0.800
0.753 0.713 0.800
```


7.
Material: CsNaPr2Cl8
Method: DFT, PBE-GGA
State: relaxed

Values from the calculation:
The density of states at the Fermi level is 0.000 states/eV per atom. As for the space-group type: No. 10. The calculation puts the electronic total energy at -51.90 eV/cell.

The structure in POSCAR format:
```
CsNaPr2Cl8
1.0
7.071 0.000 0.000
0.000 8.810 0.000
-0.632 0.000 7.143
Cs Na Pr Cl
1 1 2 8
direct
0.000 0.000 0.000
0.000 0.500 0.000
0.500 0.258 0.500
0.500 0.742 0.500
0.236 0.288 0.203
0.236 0.712 0.203
0.309 0.500 0.662
0.317 0.000 0.645
0.683 0.000 0.355
0.691 0.500 0.338
0.764 0.288 0.797
0.764 0.712 0.797
```


8.
Material: CsNa2PrCl6
Method: DFT, PBE-GGA
State: relaxed

Values from the calculation:
The density of states at the Fermi level is 0.000 states/eV per atom. As for the space-group type: No. 146. The calculation puts the electronic total energy at -39.72 eV/cell.

The structure in POSCAR format:
```
CsNa2PrCl6
1.0
3.697 2.134 6.768
-3.697 2.134 6.768
0.000 -4.269 6.768
Cs Na Pr Cl
1 2 1 6
direct
0.000 0.000 0.000
0.271 0.271 0.271
0.787 0.787 0.787
0.469 0.469 0.469
0.061 0.587 0.477
0.199 0.534 0.865
0.477 0.061 0.587
0.534 0.865 0.199
0.587 0.477 0.061
0.865 0.199 0.534
```


9.
Material: CsNaPrCl5
Method: DFT, PBE-GGA
State: relaxed

Values from the calculation:
The density of states at the Fermi level is 0.000 states/eV per atom. As for the space-group type: No. 15. The calculation puts the electronic total energy at -65.94 eV/cell.

The structure in POSCAR format:
```
CsNaPrCl5
1.0
4.687 -6.597 0.000
4.687 6.597 0.000
-3.937 0.000 9.881
Cs Na Pr Cl
2 2 2 10
direct
0.163 0.837 0.750
0.837 0.163 0.250
0.186 0.814 0.250
0.814 0.186 0.750
0.500 0.500 0.000
0.500 0.500 0.500
0.141 0.253 0.928
0.210 0.600 0.411
0.253 0.141 0.428
0.400 0.790 0.089
0.433 0.567 0.750
0.567 0.433 0.250
0.600 0.210 0.911
0.747 0.859 0.572
0.790 0.400 0.589
0.859 0.747 0.072
```


10.
Material: Cs3Na2PuCl8
Method: DFT, PBE-GGA
State: relaxed

Values from the calculation:
The density of states at the Fermi level is 0.662 states/eV per atom. As for the space-group type: No. 164. The calculation puts the electronic total energy at -60.55 eV/cell.

The structure in POSCAR format:
```
Cs3Na2PuCl8
1.0
7.680 0.000 0.000
-3.840 6.651 0.000
0.000 0.000 10.282
Cs Na Pu Cl
3 2 1 8
direct
0.000 0.000 0.000
0.333 0.667 0.630
0.667 0.333 0.370
0.333 0.667 0.190
0.667 0.333 0.810
0.000 0.000 0.500
0.162 0.325 0.340
0.162 0.838 0.340
0.325 0.162 0.660
0.333 0.667 0.944
0.667 0.333 0.056
0.675 0.838 0.340
0.838 0.162 0.660
0.838 0.675 0.660
```


11.
Material: Cs2NaPuCl5
Method: DFT, PBE-GGA
State: relaxed

Values from the calculation:
The density of states at the Fermi level is 1.821 states/eV per atom. As for the space-group type: No. 36. The calculation puts the electronic total energy at -86.29 eV/cell.

The structure in POSCAR format:
```
Cs2NaPuCl5
1.0
2.222 -9.539 0.000
2.222 9.539 0.000
0.000 0.000 14.742
Cs Na Pu Cl
4 2 2 10
direct
0.106 0.894 0.500
0.135 0.865 0.104
0.865 0.135 0.604
0.894 0.106 0.000
0.487 0.513 0.277
0.513 0.487 0.777
0.211 0.789 0.817
0.789 0.211 0.317
0.063 0.937 0.858
0.282 0.718 0.443
0.307 0.693 0.194
0.361 0.639 0.808
0.498 0.502 0.600
0.502 0.498 0.100
0.639 0.361 0.308
0.693 0.307 0.694
0.718 0.282 0.943
0.937 0.063 0.358
```


12.
Material: CsNa2PuCl8
Method: DFT, PBE-GGA
State: relaxed

Values from the calculation:
The density of states at the Fermi level is 1.119 states/eV per atom. As for the space-group type: No. 2. The calculation puts the electronic total energy at -51.80 eV/cell.

The structure in POSCAR format:
```
CsNa2PuCl8
1.0
6.066 0.000 0.000
-0.220 6.641 0.000
-0.069 -0.025 9.632
Cs Na Pu Cl
1 2 1 8
direct
0.000 0.000 0.000
0.498 0.500 0.743
0.502 0.500 0.257
0.000 0.000 0.500
0.237 0.845 0.309
0.241 0.849 0.692
0.252 0.323 0.499
0.255 0.490 0.000
0.745 0.510 0.000
0.748 0.677 0.501
0.759 0.151 0.308
0.763 0.155 0.691
```